{
  "formula": "Ti5Cu2H12",
  "functional": "GGA-PBE",
  "state": "optimized geometry",
  "dos_ef_per_ev_cell": 4.07,
  "e_tot_ev_per_atom": -4.84,
  "cell": [[4.768, -2.672, 0.000], [4.768, 2.672, 0.000], [-1.764, 0.000, 5.652]],
  "species": ["Ti", "Ti", "Ti", "Ti", "Ti", "Cu", "Cu", "H", "H", "H", "H", "H", "H", "H", "H", "H", "H", "H", "H"],
  "fractional_positions": [[0.000, 0.000, 0.000], [0.282, 0.282, 0.646], [0.304, 0.304, 0.128], [0.696, 0.696, 0.872], [0.718, 0.718, 0.354], [0.231, 0.769, 0.500], [0.769, 0.231, 0.500], [0.088, 0.088, 0.373], [0.108, 0.581, 0.915], [0.121, 0.507, 0.399], [0.419, 0.892, 0.085], [0.492, 0.492, 0.709], [0.493, 0.879, 0.601], [0.507, 0.121, 0.399], [0.508, 0.508, 0.291], [0.581, 0.108, 0.915], [0.879, 0.493, 0.601], [0.892, 0.419, 0.085], [0.912, 0.912, 0.627]]
}



{
  "formula": "Tc2OsW",
  "functional": "GGA-PBE",
  "state": "optimized geometry",
  "delta_e_f_ev_per_atom": 0.29,
  "e_above_lowest_polymorph_mev_per_atom": 232,
  "dos_ef_per_ev_cell": 4.72,
  "cell": [[2.950, 0.000, 0.000], [0.000, 4.521, 0.000], [0.000, 0.000, 4.525]],
  "species": ["Tc", "Tc", "Os", "W"],
  "fractional_positions": [[0.000, 0.000, 0.000], [0.500, 0.500, 0.000], [0.000, 0.500, 0.500], [0.500, 0.000, 0.500]]
}



{
  "formula": "K2TaSb",
  "functional": "GGA-PBE",
  "state": "optimized geometry",
  "dos_ef_per_ev_cell": 3.65,
  "e_form_raw_ev_per_atom": 0.4162,
  "cell": [[3.783, 0.000, 0.000], [0.000, 3.782, 0.000], [-0.074, 0.000, 10.538]],
  "species": ["K", "K", "Ta", "Sb"],
  "fractional_positions": [[0.000, 0.000, 0.000], [0.491, 0.500, 0.400], [0.494, 0.500, 0.739], [0.993, 0.000, 0.655]]
}



{
  "formula": "Ce6Os3Au",
  "functional": "GGA-PBE",
  "state": "optimized geometry",
  "delta_e_f_ev_per_atom": -0.22,
  "dos_ef_per_ev_cell": 50.62,
  "cell": [[11.634, 0.000, 0.000], [0.000, 4.111, 0.000], [-3.957, 0.000, 11.002]],
  "species": ["Ce", "Ce", "Ce", "Ce", "Ce", "Ce", "Ce", "Ce", "Ce", "Ce", "Ce", "Ce", "Os", "Os", "Os", "Os", "Os", "Os", "Au", "Au"],
  "fractional_positions": [[0.039, 0.250, 0.386], [0.094, 0.250, 0.928], [0.239, 0.750, 0.256], [0.262, 0.250, 0.705], [0.416, 0.750, 0.547], [0.443, 0.250, 0.116], [0.557, 0.750, 0.884], [0.584, 0.250, 0.453], [0.738, 0.750, 0.295], [0.761, 0.250, 0.744], [0.906, 0.750, 0.072], [0.961, 0.750, 0.614], [0.081, 0.250, 0.162], [0.172, 0.750, 0.529], [0.492, 0.750, 0.289], [0.508, 0.250, 0.711], [0.828, 0.250, 0.471], [0.919, 0.750, 0.838], [0.299, 0.750, 0.920], [0.701, 0.250, 0.080]]
}



{
  "formula": "Nd3Dy3Th",
  "functional": "GGA-PBE",
  "state": "optimized geometry",
  "delta_e_f_ev_per_atom": 0.23,
  "dos_ef_per_ev_cell": 22.09,
  "cell": [[4.365, 2.520, 7.339], [-4.365, 2.520, 7.339], [0.000, -5.041, 7.339]],
  "species": ["Nd", "Nd", "Nd", "Nd", "Nd", "Nd", "Dy", "Dy", "Dy", "Dy", "Dy", "Dy", "Th", "Th"],
  "fractional_positions": [[0.063, 0.215, 0.573], [0.215, 0.573, 0.063], [0.427, 0.937, 0.785], [0.573, 0.063, 0.215], [0.785, 0.427, 0.937], [0.937, 0.785, 0.427], [0.211, 0.439, 0.677], [0.323, 0.789, 0.561], [0.439, 0.677, 0.211], [0.561, 0.323, 0.789], [0.677, 0.211, 0.439], [0.789, 0.561, 0.323], [0.156, 0.156, 0.156], [0.844, 0.844, 0.844]]
}



{
  "formula": "La8Pm3Th",
  "functional": "GGA-PBE",
  "state": "optimized geometry",
  "delta_e_f_ev_per_atom": 0.30,
  "dos_ef_per_ev_cell": 21.55,
  "cell": [[-3.273, 5.785, 5.986], [3.273, -5.785, 5.986], [3.273, 5.785, -5.986]],
  "species": ["La", "La", "La", "La", "La", "La", "La", "La", "Pm", "Pm", "Pm", "Th"],
  "fractional_positions": [[0.090, 0.235, 0.829], [0.234, 0.735, 0.024], [0.289, 0.265, 0.499], [0.406, 0.260, 0.171], [0.594, 0.765, 0.855], [0.711, 0.210, 0.976], [0.766, 0.790, 0.501], [0.910, 0.740, 0.145], [0.197, 0.697, 0.500], [0.500, 0.500, 0.000], [0.803, 0.303, 0.500], [0.000, 0.000, 0.000]]
}



{
  "formula": "MgBPb2",
  "functional": "GGA-PBE",
  "state": "optimized geometry",
  "delta_e_f_ev_per_atom": 0.88,
  "e_above_lowest_polymorph_mev_per_atom": 178,
  "dos_ef_per_ev_cell": 11.92,
  "cell": [[7.156, 0.000, 0.000], [0.000, 7.156, 0.000], [0.000, 0.000, 7.156]],
  "species": ["Mg", "Mg", "Mg", "Mg", "B", "B", "B", "B", "Pb", "Pb", "Pb", "Pb", "Pb", "Pb", "Pb", "Pb"],
  "fractional_positions": [[0.000, 0.000, 0.000], [0.000, 0.500, 0.500], [0.500, 0.000, 0.500], [0.500, 0.500, 0.000], [0.000, 0.000, 0.500], [0.000, 0.500, 0.000], [0.500, 0.000, 0.000], [0.500, 0.500, 0.500], [0.250, 0.250, 0.250], [0.250, 0.250, 0.750], [0.250, 0.750, 0.250], [0.250, 0.750, 0.750], [0.750, 0.250, 0.250], [0.750, 0.250, 0.750], [0.750, 0.750, 0.250], [0.750, 0.750, 0.750]]
}



{
  "formula": "Li3SmCu3",
  "functional": "GGA-PBE",
  "state": "optimized geometry",
  "delta_e_f_ev_per_atom": 0.36,
  "dos_ef_per_ev_cell": 6.78,
  "cell": [[6.392, 0.000, 0.000], [0.000, 6.392, 0.000], [0.000, 0.000, 6.392]],
  "species": ["Li", "Li", "Li", "Li", "Li", "Li", "Sm", "Sm", "Cu", "Cu", "Cu", "Cu", "Cu", "Cu"],
  "fractional_positions": [[0.000, 0.250, 0.500], [0.000, 0.750, 0.500], [0.250, 0.500, 0.000], [0.500, 0.000, 0.250], [0.500, 0.000, 0.750], [0.750, 0.500, 0.000], [0.000, 0.000, 0.000], [0.500, 0.500, 0.500], [0.000, 0.500, 0.250], [0.000, 0.500, 0.750], [0.250, 0.000, 0.500], [0.500, 0.250, 0.000], [0.500, 0.750, 0.000], [0.750, 0.000, 0.500]]
}